[1]
! Cd4BiAu, optimized geometry, DFT PBE; values from VASP
&SYSTEM
  ibrav = 0, nat = 12, ntyp = 3
/
ATOMIC_SPECIES
Cd 112.41 Cd.upf
Bi 208.98 Bi.upf
Au 196.97 Au.upf
ATOMIC_POSITIONS crystal
Cd 0.086 0.682 0.415
Cd 0.190 0.810 0.000
Cd 0.315 0.315 0.793
Cd 0.318 0.914 0.585
Cd 0.682 0.086 0.415
Cd 0.685 0.685 0.207
Cd 0.810 0.190 0.000
Cd 0.914 0.318 0.585
Bi 0.219 0.219 0.203
Bi 0.781 0.781 0.797
Au 0.484 0.484 0.254
Au 0.516 0.516 0.746
CELL_PARAMETERS angstrom
6.964 -3.741 0.000
6.964 3.741 0.000
-2.123 0.000 5.616
! - Uncorrected energy: -1.82 eV per atom
! - E_form: -0.012 eV per atom
! - Crystal system: monoclinic

[2]
! Tm3Sn3Rh2, optimized geometry, DFT PBE; values from VASP
&SYSTEM
  ibrav = 0, nat = 16, ntyp = 3
/
ATOMIC_SPECIES
Tm 168.93 Tm.upf
Sn 118.71 Sn.upf
Rh 102.91 Rh.upf
ATOMIC_POSITIONS crystal
Tm 0.070 0.930 0.612
Tm 0.070 0.930 0.888
Tm 0.342 0.658 0.750
Tm 0.658 0.342 0.250
Tm 0.930 0.070 0.112
Tm 0.930 0.070 0.388
Sn 0.364 0.636 0.250
Sn 0.366 0.634 0.534
Sn 0.366 0.634 0.966
Sn 0.634 0.366 0.034
Sn 0.634 0.366 0.466
Sn 0.636 0.364 0.750
Rh 0.201 0.799 0.111
Rh 0.201 0.799 0.389
Rh 0.799 0.201 0.611
Rh 0.799 0.201 0.889
CELL_PARAMETERS angstrom
2.275 -5.367 0.000
2.275 5.367 0.000
0.000 0.000 14.790
! - Uncorrected energy: -5.84 eV per atom
! - E_form: -0.823 eV per atom
! - Crystal system: orthorhombic

[3]
! Pr3FeI3, optimized geometry, DFT PBE; values from VASP
&SYSTEM
  ibrav = 0, nat = 28, ntyp = 3
/
ATOMIC_SPECIES
Pr 140.91 Pr.upf
Fe 55.84 Fe.upf
I 126.90 I.upf
ATOMIC_POSITIONS crystal
Pr 0.023 0.046 0.273
Pr 0.023 0.477 0.750
Pr 0.046 0.273 0.023
Pr 0.227 0.273 0.750
Pr 0.227 0.454 0.477
Pr 0.273 0.023 0.046
Pr 0.273 0.750 0.227
Pr 0.454 0.477 0.227
Pr 0.477 0.227 0.454
Pr 0.477 0.750 0.023
Pr 0.750 0.023 0.477
Pr 0.750 0.227 0.273
Fe 0.000 0.250 0.500
Fe 0.250 0.250 0.250
Fe 0.250 0.500 0.000
Fe 0.500 0.000 0.250
I 0.250 0.760 0.740
I 0.250 0.990 0.510
I 0.510 0.250 0.990
I 0.510 0.760 0.519
I 0.519 0.510 0.760
I 0.740 0.250 0.760
I 0.740 0.990 0.981
I 0.760 0.519 0.510
I 0.760 0.740 0.250
I 0.981 0.740 0.990
I 0.990 0.510 0.250
I 0.990 0.981 0.740
CELL_PARAMETERS angstrom
-6.201 6.201 6.201
6.201 -6.201 6.201
6.201 6.201 -6.201
! - Uncorrected energy: -4.71 eV per atom
! - E_form (uncorrected): -76.2 kJ/mol of atoms
! - Crystal system: cubic

Please write out number 1 again, unchanged.
! Cd4BiAu, optimized geometry, DFT PBE; values from VASP
&SYSTEM
  ibrav = 0, nat = 12, ntyp = 3
/
ATOMIC_SPECIES
Cd 112.41 Cd.upf
Bi 208.98 Bi.upf
Au 196.97 Au.upf
ATOMIC_POSITIONS crystal
Cd 0.086 0.682 0.415
Cd 0.190 0.810 0.000
Cd 0.315 0.315 0.793
Cd 0.318 0.914 0.585
Cd 0.682 0.086 0.415
Cd 0.685 0.685 0.207
Cd 0.810 0.190 0.000
Cd 0.914 0.318 0.585
Bi 0.219 0.219 0.203
Bi 0.781 0.781 0.797
Au 0.484 0.484 0.254
Au 0.516 0.516 0.746
CELL_PARAMETERS angstrom
6.964 -3.741 0.000
6.964 3.741 0.000
-2.123 0.000 5.616
! - Uncorrected energy: -1.82 eV per atom
! - E_form: -0.012 eV per atom
! - Crystal system: monoclinic